Entry 1:
# Rb2ZnSn6

A relaxed structure of Rb2ZnSn6 (PBE, Alexandria).

```
data_Rb2ZnSn6
_chemical_formula_sum 'Rb2 Zn1 Sn6'
_cell_length_a 7.1117
_cell_length_b 7.1117
_cell_length_c 6.4613
_cell_angle_alpha 90.00
_cell_angle_beta 90.00
_cell_angle_gamma 120.00
_space_group_name_H-M_alt 'P -3 m 1'
_space_group_IT_number 164
_space_group_name_Hall '-P 3 2"'
loop_
_atom_site_label
_atom_site_type_symbol
_atom_site_fract_x
_atom_site_fract_y
_atom_site_fract_z
Rb1 Rb 0.3333 0.6667 0.1497
Zn1 Zn 0.0000 0.0000 0.0000
Sn1 Sn 0.1650 0.3301 0.6713
```

Properties
Fermi-level density of states (states/eV per atom): 0.35
Total magnetization (μB/f.u.): 0.00
Calculated formation energy (kJ/mol of formula units): -101
Calculated volume (Å³ per atom): 31.448

Entry 2:
# In6S8Br

A relaxed structure of In6S8Br (PBE, Alexandria).

```
data_In6S8Br
_chemical_formula_sum 'In18 S24 Br3'
_cell_length_a 10.9267
_cell_length_b 10.9267
_cell_length_c 12.4257
_cell_angle_alpha 90.00
_cell_angle_beta 90.00
_cell_angle_gamma 120.00
_space_group_name_H-M_alt 'R -3'
_space_group_IT_number 148
_space_group_name_Hall '-R 3'
loop_
_atom_site_label
_atom_site_type_symbol
_atom_site_fract_x
_atom_site_fract_y
_atom_site_fract_z
In1 In 0.0158 0.8072 0.1311
S1 S 0.0000 0.0000 0.2354
S2 S 0.0062 0.2786 0.0722
Br1 Br 0.0000 0.0000 0.5000
```

Properties
Fermi-level density of states (states/eV per atom): 0.33
Formation energy (no corrections) (kJ/mol of atoms): -32.3
Total magnetization (μB/f.u.): 0.00
Calculated volume (Å³ per atom): 28.551

Entry 3:
# Dy2FeSi

A relaxed structure of Dy2FeSi (PBE, Alexandria).

```
data_Dy2FeSi
_chemical_formula_sum 'Dy6 Fe3 Si3'
_cell_length_a 3.3454
_cell_length_b 3.3454
_cell_length_c 28.5143
_cell_angle_alpha 90.00
_cell_angle_beta 90.00
_cell_angle_gamma 120.00
_space_group_name_H-M_alt 'R -3 m'
_space_group_IT_number 166
_space_group_name_Hall '-R 3 2"'
loop_
_atom_site_label
_atom_site_type_symbol
_atom_site_fract_x
_atom_site_fract_y
_atom_site_fract_z
Dy1 Dy 0.0000 0.0000 0.0916
Fe1 Fe 0.0000 0.0000 0.0000
Si1 Si 0.0000 0.0000 0.5000
```

Properties
Fermi-level density of states (states/eV per atom): 0.77
Formation energy (no corrections) (kJ/mol of atoms): 41.5
Total magnetization (μB/f.u.): 1.83
Calculated volume (Å³ per atom): 23.031

Entry 4:
# NiSe3I

A relaxed structure of NiSe3I (PBE, Alexandria).

```
data_NiSe3I
_chemical_formula_sum 'Ni1 Se3 I1'
_cell_length_a 5.3808
_cell_length_b 5.3808
_cell_length_c 5.3808
_cell_angle_alpha 90.00
_cell_angle_beta 90.00
_cell_angle_gamma 90.00
_space_group_name_H-M_alt 'P m -3 m'
_space_group_IT_number 221
_space_group_name_Hall '-P 4 2 3'
loop_
_atom_site_label
_atom_site_type_symbol
_atom_site_fract_x
_atom_site_fract_y
_atom_site_fract_z
Ni1 Ni 0.0000 0.0000 0.0000
Se1 Se 0.0000 0.5000 0.5000
I1 I 0.5000 0.5000 0.5000
```

Properties
Fermi-level density of states (states/eV per atom): 2.41
Formation energy (no corrections) (kJ/mol of atoms): 127.5
Total magnetization (μB/f.u.): 1.39
Calculated volume (Å³ per atom): 31.158

Q: Among the records above, which one has the lowest Fermi-level density of states?
A: In6S8Br